4
Lattice="1.813 1.047 9.155 -1.813 1.047 9.155 0.000 -2.094 9.155" Properties=species:S:1:pos:R:3 comment="PaHgO2, optimized geometry, DFT PBE-GGA" total_energy_ev_per_atom=-7.3204 magmom_total_mub_per_cell=1.0 e_above_lowest_polymorph_ev_per_fu=0.61 pbc="T T T"
Pa 0.000 0.000 0.000
Hg 0.000 0.000 13.732
O 0.000 0.000 10.083
O 0.000 0.000 17.381